{
  "formula": "LaZrW2",
  "functional": "PBE",
  "state": "relaxed",
  "density_g_cm3": 12.29,
  "space_group": "No. 216",
  "formation_energy_mev_per_atom": 551.8,
  "lattice": [[0.000, 3.431, 3.431], [3.431, 0.000, 3.431], [3.431, 3.431, 0.000]],
  "species": ["La", "Zr", "W", "W"],
  "fractional_positions": [[0.000, 0.000, 0.000], [0.250, 0.250, 0.250], [0.500, 0.500, 0.500], [0.750, 0.750, 0.750]]
}